The following is a GGA+U calculation of an optimized crystal structure of KZnCrF6, from the Alexandria database.

Summary:
The value obtained for the energy is -5.02 eV per atom. The total moment comes out at 3.00 μB per formula unit.

Cell lengths 5.3971, 5.3971, 11.3666 Å; angles 90.00, 90.00, 120.00 degrees
Last column: magnetic moment on the atom in μB.
Atoms (fractional coordinates):
F1 0.6339 0.0167 0.3455  0.00
F2 0.3829 0.3661 0.3455  0.00
F3 0.0167 0.6339 0.8455  0.00
F4 0.3661 0.9833 0.6545  0.00
F5 0.6171 0.6339 0.6545  0.00
F6 0.9833 0.6171 0.3455  0.00
F7 0.6339 0.6171 0.1545  0.00
F8 0.3829 0.0167 0.1545  0.00
F9 0.9833 0.3661 0.1545  0.00
F10 0.3661 0.3829 0.8455  0.00
F11 0.6171 0.9833 0.8455  0.00
F12 0.0167 0.3829 0.6545  0.00
Cr1 0.3333 0.6667 0.7500  2.95
Cr2 0.6667 0.3333 0.2500  2.95
Zn1 0.6667 0.3333 0.7500  0.01
Zn2 0.3333 0.6667 0.2500  0.01
K1 0.0000 0.0000 0.5000  0.00
K2 0.0000 0.0000 0.0000  0.00